No. 1
A geometry-optimized MnCdSi2 structure. Source: Alexandria, functional PBE.

Properties
The calculated total energy is -4.823 eV/atom. The theoretical density is 5.7 Mg/m³. The total magnetization is 6.6 Bohr magnetons per cell.

The structure in CIF format:
```
data_MnCdSi2
_chemical_formula_sum 'Mn2 Cd2 Si4'
_space_group_name_H-M_alt 'C m m m'
_space_group_IT_number 65
_space_group_name_Hall '-C 2 2'
_cell_length_a 5.8849
_cell_length_b 7.8929
_cell_length_c 2.8121
_cell_angle_alpha 90.00
_cell_angle_beta 90.00
_cell_angle_gamma 90.00
loop_
_atom_site_label
_atom_site_type_symbol
_atom_site_fract_x
_atom_site_fract_y
_atom_site_fract_z
Mn1 Mn 0.0000 0.0000 0.0000
Cd1 Cd 0.0000 0.5000 0.0000
Si1 Si 0.2500 0.2500 0.5000
```

=====

No. 2
A geometry-optimized Ce2HgI structure. Source: Alexandria, functional PBE.

Properties
The calculated total energy is -3.894 eV/atom. The theoretical density is 7.9 Mg/m³. The total magnetization is 7.7 Bohr magnetons per cell.

The structure in CIF format:
```
data_Ce2HgI
_chemical_formula_sum 'Ce6 Hg3 I3'
_space_group_name_H-M_alt 'R -3 m'
_space_group_IT_number 166
_space_group_name_Hall '-R 3 2"'
_cell_length_a 4.5323
_cell_length_b 4.5323
_cell_length_c 21.6136
_cell_angle_alpha 90.00
_cell_angle_beta 90.00
_cell_angle_gamma 120.00
loop_
_atom_site_label
_atom_site_type_symbol
_atom_site_fract_x
_atom_site_fract_y
_atom_site_fract_z
Ce1 Ce 0.0000 0.0000 0.2470
Hg1 Hg 0.0000 0.0000 0.5000
I1 I 0.0000 0.0000 0.0000
```

=====

No. 3
A geometry-optimized La4Nd3Th structure. Source: Alexandria, functional PBE.

Properties
The calculated total energy is -4.842 eV/atom. The energy relative to the elements is 0.34 eV per atom. The theoretical density is 7.0 Mg/m³. The total magnetization is 0.0 Bohr magnetons per cell.

The structure in CIF format:
```
data_La4Nd3Th
_chemical_formula_sum 'La8 Nd6 Th2'
_space_group_name_H-M_alt 'C m m m'
_space_group_IT_number 65
_space_group_name_Hall '-C 2 2'
_cell_length_a 12.0209
_cell_length_b 13.7667
_cell_length_c 3.4814
_cell_angle_alpha 90.00
_cell_angle_beta 90.00
_cell_angle_gamma 90.00
loop_
_atom_site_label
_atom_site_type_symbol
_atom_site_fract_x
_atom_site_fract_y
_atom_site_fract_z
La1 La 0.0000 0.2473 0.0000
La2 La 0.2391 0.0000 0.5000
Nd1 Nd 0.0000 0.5000 0.0000
Nd2 Nd 0.2500 0.2500 0.5000
Th1 Th 0.0000 0.0000 0.0000
```